# PBE with a Hubbard U LiFeI2O, optimized geometry
# - Relative energy among the computed polymorphs: 0 meV per atom
# - Final energy: -3.748 eV/atom
# - Total moment: 5.002 μB per cell
data_LiFeI2O
_cell_length_a 5.827
_cell_length_b 5.827
_cell_length_c 3.735
_cell_angle_alpha 90.00
_cell_angle_beta 90.00
_cell_angle_gamma 90.00
_symmetry_space_group_name_H-M 'P 4/m m m'
_symmetry_Int_Tables_number 123
_symmetry_space_group_name_Hall '-P 4 2'
loop_
_atom_site_label
_atom_site_type_symbol
_atom_site_fract_x
_atom_site_fract_y
_atom_site_fract_z
Li1 Li 0.000 0.000 0.000
Fe1 Fe 0.500 0.500 0.500
I1 I 0.000 0.500 0.500
O1 O 0.500 0.500 0.000